VASP calculation (PBE) on a relaxed structure of Mg2PRu.

Computed properties:
The calculation puts the volume at 60.5 Å³/cell. For the energy of formation from the pure elements, the calculation gives -136.8 meV per atom.

abc: 4.047 4.047 3.695
angles: 90.00 90.00 90.00
Positions (direct):
Mg  0.500  0.500  0.000
Ru  0.000  0.500  0.500
P  0.500  0.000  0.500
Mg  0.000  0.000  0.000